1.
## Fe2ReMo (PBE)

Data for an optimized crystal structure of Fe2ReMo.

Unit cell a=2.6004 b=2.6004 c=8.4941 alpha=90.00 beta=90.00 gamma=107.00
Sites, in units of the cell vectors:
Fe (0.0000, 0.0000, 0.5027)
Re (0.5000, 0.5000, 0.7500)
Mo (0.5000, 0.5000, 0.2500)
Fe (0.0000, 0.0000, 0.9973)

VASP energy   -39.672 eV/f.u.


2.
## V3SiIr (PBE)

Data for an optimized crystal structure of V3SiIr.

Unit cell a=4.4413 b=6.2283 c=6.4875 alpha=120.23 beta=90.00 gamma=110.89
Sites, in units of the cell vectors:
Ir (0.3371, 0.6741, 0.5468)
V (0.4139, 0.8277, 0.0534)
V (0.9576, 0.9152, 0.7804)
Si (0.7855, 0.5709, 0.9016)
V (0.8495, 0.6990, 0.3359)
Si (0.2145, 0.4291, 0.0984)
V (0.1505, 0.3010, 0.6641)
V (0.5861, 0.1723, 0.9466)
Ir (0.6629, 0.3259, 0.4532)
V (0.0424, 0.0848, 0.2196)

Polymorph energy (0 for the lowest one)   0 meV per atom
ΔE_f (raw)   -0.231 eV per atom


3.
## ZrMnAs2 (PBE)

Data for an optimized crystal structure of ZrMnAs2.

Unit cell a=3.7451 b=3.7439 c=5.4540 alpha=90.00 beta=90.00 gamma=90.00
Sites, in units of the cell vectors:
As (0.0000, 0.0000, 0.9206)
Zr (0.5000, 0.5000, 0.8134)
As (0.5000, 0.5000, 0.3330)
Mn (0.0000, 0.0000, 0.4330)

VASP energy   -29.241 eV/f.u.


| no. | mass density (g/cm3) | density of states at the Fermi level (states/eV per cell) |
| --- | --- | --- |
| 1 | 11.91 | 3.2 |
| 2 | 8.77 | 10.1 |
| 3 | 6.43 | 2.6 |